NaAgO2 | Alexandria | PBE | relaxed; energy = -3.68 eV per atom; crystal system = trigonal; space group = R-3m, No. 166
1.0
-2.868 1.762 6.097
-1.058 4.182 5.467
-3.868 3.985 4.203
Na Ag O
1 1 2
Cartesian
-3.897 4.964 7.884
0.000 0.000 0.000
-0.738 0.941 1.494
-7.055 8.988 14.274

=====

CuReC3 | Alexandria | PBE | relaxed; crystal system = cubic; energy above the lowest structure with this stoichiometry = 0.0000 eV/atom; DFT formation energy = 1.9122 eV/atom; space group = Pm-3m, No. 221
1.0
4.019 0.000 0.000
0.000 4.019 0.000
0.000 0.000 4.019
Re C Cu
1 3 1
Cartesian
0.000 0.000 0.000
2.010 0.000 0.000
0.000 2.010 0.000
0.000 0.000 2.010
2.010 2.010 2.010

=====

Dy2TiSe | Alexandria | PBE | relaxed; energy = -5.39 eV per atom; crystal system = trigonal; space group = R-3m, No. 166
1.0
-0.684 -3.390 -0.948
1.913 -1.554 -2.604
6.809 -4.775 5.383
Ti Se Dy
1 1 2
Cartesian
0.000 0.000 0.000
4.019 -4.860 0.915
4.860 -3.823 3.382
3.179 -5.896 -1.552

=====

Na2Bi2Cl7 | Alexandria | PBE | relaxed; crystal system = monoclinic; energy above the lowest structure with this stoichiometry = 0.0136 eV/atom; space group = C2/m, No. 12
1.0
6.641 0.115 0.268
0.261 6.967 2.792
0.208 -0.847 7.459
Cl Na Bi
7 2 2
Cartesian
5.159 0.181 4.418
0.000 0.000 0.000
1.951 6.053 6.101
5.271 3.627 6.132
1.926 2.483 8.234
1.839 2.608 4.387
5.183 3.752 2.285
3.544 1.497 6.227
3.566 4.738 4.291
0.597 1.417 2.379
6.513 4.817 8.139

=====

DyTmHg | Alexandria | PBE | relaxed; crystal system = trigonal; energy above the lowest structure with this stoichiometry = 0.1827 eV/atom; DFT formation energy = -0.1826 eV/atom; space group = P3m1, No. 156
1.0
3.667 0.000 0.000
0.000 5.109 0.000
0.000 -2.555 4.425
Tm Hg Dy
1 1 1
Cartesian
0.324 0.000 0.000
1.073 0.000 2.950
2.270 2.555 1.475

=====

SmTm3 | Alexandria | PBE | relaxed; crystal system = cubic; energy above the lowest structure with this stoichiometry = 0.1238 eV/atom; DFT formation energy = 0.1297 eV/atom; space group = Fm-3m, No. 225
1.0
5.619 0.000 0.000
2.809 4.866 0.000
2.809 1.622 4.588
Tm Sm
3 1
Cartesian
2.809 1.622 1.147
8.428 4.866 3.441
0.000 0.000 0.000
5.619 3.244 2.294

=====

Th3CdHg4 | Alexandria | PBE | relaxed; crystal system = orthorhombic; energy above the lowest structure with this stoichiometry = 0.0841 eV/atom; DFT formation energy = -0.1075 eV/atom; space group = Immm, No. 71
1.0
-2.504 1.366 -1.850
5.619 -1.423 -8.654
-4.098 -5.607 4.530
Hg Th Cd
4 3 1
Cartesian
-3.339 -3.868 1.663
-0.508 -1.072 -3.227
-0.475 -4.593 -2.748
2.356 -1.797 -7.638
-1.226 -2.720 -0.349
2.810 -0.712 -4.327
0.244 -2.945 -5.626
-1.252 0.683 -0.925

=====

ReBPC | Alexandria | PBE | relaxed; crystal system = orthorhombic; energy above the lowest structure with this stoichiometry = 0.2043 eV/atom; DFT formation energy = 0.3155 eV/atom; space group = Imm2, No. 44
1.0
-0.189 -2.440 -1.614
2.740 0.501 -1.079
4.770 -6.415 9.136
P B C Re
2 2 2 2
Cartesian
4.411 -5.186 4.659
0.751 -1.010 1.438
4.404 -5.922 8.434
3.294 -3.684 2.520
3.347 -2.408 3.247
4.268 -7.086 7.547
1.500 -1.271 -0.917
2.610 -3.509 4.998

=====

Which total magnetization belongs to each record? In order, 0.000; 0.000; 0.433; 0.000; 0.000; 0.000; 0.000; 0.000 μB/atom.